Here is Ge2PbSO after structural relaxation from the Alexandria database. Energies are from GGA-PBE.

Unit cell a=4.378 b=5.541 c=4.378 alpha=90.00 beta=90.00 gamma=90.00
Fractional positions:
Ge  0.500  0.000  0.000
Ge  0.000  0.000  0.500
S  0.500  0.500  0.500
O  0.000  0.000  0.000
Pb  0.000  0.500  0.000

Space-group type = P4/mmm (123)
Fermi-level density of states = 2.6 states/eV per cell
Uncorrected formation energy = -0.1 eV per formula unit
Volume = 106.19 Å³ per cell